Entry 1:
ErSnSb2 GGA-PBE optimized geometry; SG = No. 123; raw total energy = -4.631 eV per atom; polymorph energy (0 for the lowest one) = 0 meV per atom; crystal system = tetragonal; M_tot = 0.0 μB per formula unit; ΔE_f (raw) = -428.0 meV per atom
1.0
4.120 0.000 0.000
0.000 4.120 0.000
0.000 0.000 6.359
Sb Er Sn
2 1 1
Cartesian
0.000 0.000 1.668
0.000 0.000 4.691
2.060 2.060 3.179
2.060 2.060 0.000

---

Entry 2:
Er2SnSb GGA-PBE optimized geometry; SG = No. 63; raw total energy = -5.195 eV per atom; polymorph energy (0 for the lowest one) = 0 meV per atom; crystal system = orthorhombic; M_tot = 0.0 μB per formula unit; ΔE_f (raw) = -882.7 meV per atom
1.0
-2.799 -3.044 -1.172
2.667 -1.167 -3.341
4.125 -7.156 8.734
Sb Er Sn
2 4 2
Cartesian
2.640 -7.695 1.858
1.354 -3.672 2.364
2.757 -5.662 4.180
-0.020 -1.725 0.587
4.013 -9.642 3.635
1.236 -5.705 0.042
4.243 -7.769 6.103
-0.250 -3.598 -1.882

---

Entry 3:
Er6SnSb2 GGA-PBE optimized geometry; SG = No. 14; raw total energy = -4.953 eV per atom; crystal system = monoclinic; M_tot = 0.0 μB per formula unit; ΔE_f (raw) = -550.4 meV per atom
1.0
6.220 0.000 0.248
0.000 8.264 0.000
-0.436 0.000 10.091
Er Sb Sn
12 4 2
Cartesian
3.568 1.637 5.750
0.505 0.327 7.890
3.833 3.805 2.968
2.216 6.628 4.589
2.271 6.956 0.588
3.513 1.309 9.751
1.951 4.460 7.371
5.108 5.769 9.758
0.676 2.496 0.581
0.621 2.823 4.582
5.163 5.441 5.757
5.279 7.937 2.449
2.406 0.948 2.703
5.298 3.184 7.873
0.486 5.081 2.466
3.378 7.316 7.635
-0.218 0.000 5.045
3.110 4.132 0.124

---

Entry 4:
Er10Sn3Sb3 GGA-PBE optimized geometry; SG = No. 189; raw total energy = -5.180 eV per atom; crystal system = hexagonal; M_tot = 0.0 μB per formula unit; ΔE_f (raw) = -804.8 meV per atom
1.0
-1.742 5.907 1.624
-3.840 1.052 -7.943
-4.693 -3.255 6.807
Sn Sb Er
3 3 10
Cartesian
-3.353 -0.866 -0.447
-2.849 -1.976 4.132
-2.331 0.638 -4.822
-6.060 1.614 0.121
-2.376 3.366 -2.301
-2.710 1.678 3.480
-6.480 -1.673 -0.863
-3.784 3.752 -5.215
-2.929 2.422 0.538
-1.129 -0.783 1.637
-0.924 0.253 -1.910
-4.432 0.484 5.977
-4.559 1.092 -2.621
-5.431 4.048 -1.808
-4.844 -0.343 2.296
-5.715 2.612 3.108

---

Entry 5:
ErSnSb2 GGA-PBE optimized geometry; SG = No. 123; raw total energy = -4.587 eV per atom; polymorph energy (0 for the lowest one) = 43 meV per atom; crystal system = tetragonal; M_tot = 0.0 μB per formula unit; ΔE_f (raw) = -384.8 meV per atom
1.0
-1.902 -3.534 -0.375
-0.043 -0.520 5.122
-4.538 2.421 0.208
Sb Er Sn
2 1 1
Cartesian
-2.269 1.211 0.104
-0.021 -0.260 2.561
-3.242 -0.816 2.477
-0.951 -1.767 -0.187

---

Entry 6:
Er8Sn2Sb GGA-PBE optimized geometry; SG = No. 12; raw total energy = -4.842 eV per atom; crystal system = monoclinic; M_tot = 0.0 μB per formula unit; ΔE_f (raw) = -421.5 meV per atom
1.0
-2.809 3.787 1.359
-4.390 -1.443 -5.053
-2.140 -7.190 6.756
Er Sn Sb
8 2 1
Cartesian
-5.823 -3.485 6.538
-6.762 -5.047 0.089
-3.017 -2.800 1.569
-2.576 0.201 2.973
-4.191 0.202 -0.367
-3.515 -1.360 -3.475
-6.322 -2.045 1.493
-5.147 -5.048 3.429
-4.685 -1.808 4.215
-4.653 -3.038 -1.152
-1.404 1.894 0.679

---

Entry 7:
Er2SnSb GGA-PBE optimized geometry; SG = No. 12; raw total energy = -5.106 eV per atom; polymorph energy (0 for the lowest one) = 90 meV per atom; crystal system = monoclinic; M_tot = 0.0 μB per formula unit; ΔE_f (raw) = -792.8 meV per atom
1.0
-0.433 -3.945 1.366
0.939 0.731 -4.025
7.419 2.151 2.131
Er Sn Sb
2 1 1
Cartesian
5.653 -0.179 1.292
2.271 -0.884 -1.819
4.179 1.441 -0.947
-0.432 -3.945 1.366

---

Entry 8:
Er5SnSb4 GGA-PBE optimized geometry; SG = No. 12; raw total energy = -5.296 eV per atom; polymorph energy (0 for the lowest one) = 0 meV per atom; crystal system = monoclinic; M_tot = 0.0 μB per formula unit; ΔE_f (raw) = -965.7 meV per atom
1.0
-3.410 0.664 -2.582
-0.937 -6.344 -4.022
-7.144 -4.806 4.571
Er Sb Sn
5 4 1
Cartesian
-4.970 -1.544 -1.090
-3.429 -4.508 -3.887
-6.521 -8.942 -0.943
-8.062 -5.978 1.853
-4.040 -5.575 0.274
-2.486 -3.367 -1.211
-6.514 -3.750 0.383
-4.977 -6.736 -2.416
-9.005 -7.119 -0.822
0.000 0.000 0.000

---

Entry 9:
Er7Sn2Sb2 GGA-PBE optimized geometry; SG = No. 65; raw total energy = -4.743 eV per atom; crystal system = orthorhombic; M_tot = 0.0 μB per formula unit; ΔE_f (raw) = -362.1 meV per atom
1.0
-2.361 1.313 -6.360
-3.632 -6.255 0.058
-4.793 2.822 4.100
Sn Er Sb
2 7 2
Cartesian
-7.677 0.259 -1.823
-3.110 -2.380 -0.380
-4.542 0.408 -1.112
-8.596 -1.038 0.958
0.000 0.000 0.000
-2.191 -1.083 -3.161
-5.018 -3.105 2.089
-6.245 -2.528 -1.090
-5.769 0.985 -4.291
-4.113 2.399 1.171
-6.675 -4.519 -3.374

---

Entry 10:
Er6SnSb5 GGA-PBE optimized geometry; SG = No. 12; raw total energy = -5.317 eV per atom; crystal system = monoclinic; M_tot = 0.0 μB per formula unit; ΔE_f (raw) = -984.2 meV per atom
1.0
7.457 0.183 1.134
1.835 6.314 3.682
0.126 0.061 7.545
Er Sb Sn
6 5 1
Cartesian
5.792 0.681 3.675
6.447 2.809 7.412
2.325 1.625 1.204
6.967 4.873 3.611
3.626 5.877 8.686
2.971 3.750 4.949
4.120 1.189 6.202
4.646 3.249 2.408
5.299 5.369 6.158
0.654 2.127 3.740
1.307 4.249 7.487
0.000 0.000 0.000

---

Entry 11:
Er5SnSb2 GGA-PBE optimized geometry; SG = No. 63; raw total energy = -4.791 eV per atom; crystal system = orthorhombic; M_tot = 0.0 μB per formula unit; ΔE_f (raw) = -408.5 meV per atom
1.0
6.001 0.000 0.000
-3.001 6.113 0.000
0.000 0.000 14.014
Er Sn Sb
10 2 4
Cartesian
3.001 1.519 7.875
3.001 5.355 12.473
3.001 5.355 8.548
0.000 0.758 1.541
0.000 4.594 6.139
0.000 4.148 10.511
3.001 1.519 13.146
0.000 4.594 0.868
0.000 0.758 5.466
3.001 1.966 3.504
0.000 3.046 3.504
3.001 3.068 10.511
0.000 2.239 12.874
3.001 3.874 1.141
3.001 3.874 5.866
0.000 2.239 8.148

---

Entry 12:
Er4Sn2Sb GGA-PBE optimized geometry; SG = No. 122; raw total energy = -5.125 eV per atom; crystal system = tetragonal; M_tot = 0.0 μB per formula unit; ΔE_f (raw) = -785.1 meV per atom
1.0
-7.785 -0.658 1.462
3.980 0.120 6.878
1.390 6.734 -3.987
Er Sn Sb
8 4 2
Cartesian
-0.667 1.502 2.864
-4.182 0.206 5.146
-3.472 3.574 3.158
-4.148 4.593 -1.053
1.324 1.545 6.304
1.464 2.679 0.297
0.274 5.778 2.480
-0.254 4.906 -1.784
-3.704 0.452 2.132
2.240 5.878 0.136
-1.524 3.918 0.821
-1.843 2.144 5.617
1.734 3.293 3.530
-2.415 6.195 4.353

---

Entry 13:
Er3SnSb2 GGA-PBE optimized geometry; SG = No. 15; raw total energy = -5.200 eV per atom; crystal system = monoclinic; M_tot = 0.0 μB per formula unit; ΔE_f (raw) = -877.6 meV per atom
1.0
-2.719 -4.161 -5.478
6.774 1.757 -2.955
-0.396 -4.981 5.722
Er Sb Sn
6 4 2
Cartesian
0.959 -1.368 1.407
2.700 -6.016 -4.119
-1.557 -4.571 0.122
3.387 0.879 -1.478
2.847 -5.076 0.088
0.812 -2.309 -2.799
0.719 -4.335 2.180
5.496 0.155 -3.601
2.940 -3.050 -4.892
-1.837 -7.540 0.889
0.558 -5.289 -2.009
3.101 -2.096 -0.702

---

Entry 14:
Er5SnSb4 GGA-PBE optimized geometry; SG = No. 87; raw total energy = -5.293 eV per atom; polymorph energy (0 for the lowest one) = 4 meV per atom; crystal system = tetragonal; M_tot = 0.0 μB per formula unit; ΔE_f (raw) = -962.0 meV per atom
1.0
6.156 0.000 0.000
3.078 6.885 0.000
3.078 0.000 6.885
Sb Er Sn
4 5 1
Cartesian
3.084 1.382 2.753
6.162 2.753 5.503
6.162 4.132 1.382
9.240 5.503 4.132
3.084 4.121 1.377
6.162 1.377 2.764
3.085 0.000 0.000
9.240 2.764 5.508
6.162 5.508 4.121
0.007 0.000 0.000

---

Entry 15:
Er6SnSb2Te3 GGA-PBE optimized geometry; SG = No. 12; raw total energy = -5.232 eV per atom; crystal system = monoclinic; M_tot = 0.0 μB per formula unit; ΔE_f (raw) = -1145.0 meV per atom
1.0
4.355 0.000 0.000
0.000 8.690 0.315
-2.177 -2.501 9.148
Er Sb Te Sn
6 2 3 1
Cartesian
0.000 2.072 0.109
0.000 6.237 6.474
2.177 4.117 9.355
0.000 2.022 6.191
2.177 -0.048 2.989
2.177 4.167 3.273
2.177 4.123 6.304
0.000 2.066 3.160
2.177 4.345 0.158
2.177 -0.209 6.125
0.000 6.398 3.338
2.177 0.000 0.000

---

Entry 16:
SrErSb2 GGA-PBE optimized geometry; SG = No. 166; raw total energy = -4.552 eV per atom; polymorph energy (0 for the lowest one) = 0 meV per atom; crystal system = trigonal; M_tot = 0.0 μB per formula unit; ΔE_f (raw) = -929.6 meV per atom
1.0
4.441 0.000 0.000
2.221 3.846 0.000
2.221 1.282 7.791
Sb Sr Er
2 1 1
Cartesian
2.221 1.282 1.733
6.662 3.846 6.058
4.441 2.564 3.896
0.000 0.000 0.000

---

Entry 17:
SrErSb2 GGA-PBE optimized geometry; SG = No. 160; raw total energy = -4.470 eV per atom; polymorph energy (0 for the lowest one) = 82 meV per atom; crystal system = trigonal; M_tot = 0.0 μB per formula unit; ΔE_f (raw) = -847.2 meV per atom
1.0
-1.382 4.342 0.854
-3.729 1.712 -2.157
-5.999 -0.427 5.049
Er Sb Sr
1 2 1
Cartesian
-5.590 2.794 1.917
-2.904 1.335 1.097
-4.801 0.255 3.520
-9.370 3.630 4.133

---

Entry 18:
Sr3ErTh2Sb6 GGA-PBE optimized geometry; SG = No. 12; raw total energy = -5.087 eV per atom; crystal system = monoclinic; M_tot = 0.0 μB per formula unit; ΔE_f (raw) = -988.0 meV per atom
1.0
7.927 -0.003 -0.001
-3.964 6.864 -0.001
-1.323 -2.290 7.678
Sb Th Sr Er
6 2 3 1
Cartesian
3.945 2.316 5.928
-0.020 -0.035 5.916
2.605 -0.003 1.748
-1.305 2.255 1.748
2.660 4.606 1.761
0.035 4.574 5.928
0.004 4.572 -0.001
3.958 2.289 -0.001
5.262 0.009 3.838
1.320 2.285 3.838
-2.623 4.562 3.838
0.000 0.000 0.000

---

Entry 19:
Tb4ErSb2 GGA-PBE optimized geometry; SG = No. 166; raw total energy = -4.901 eV per atom; crystal system = trigonal; M_tot = 0.0 μB per formula unit; ΔE_f (raw) = -425.3 meV per atom
1.0
5.409 0.000 0.000
2.704 4.684 0.000
2.704 1.561 8.845
Tb Sb Er
4 2 1
Cartesian
2.704 1.561 2.785
5.409 3.123 7.883
5.409 3.123 0.962
8.113 4.684 6.060
8.113 4.684 2.991
2.704 1.561 5.853
0.000 0.000 0.000

---

Entry 20:
Tb2ErSb3 GGA-PBE optimized geometry; SG = No. 71; raw total energy = -5.495 eV per atom; crystal system = orthorhombic; M_tot = 0.0 μB per formula unit; ΔE_f (raw) = -1129.7 meV per atom
1.0
-1.715 -3.402 2.171
5.651 -2.481 0.576
-1.139 6.150 4.311
Sb Tb Er
3 2 1
Cartesian
2.242 -1.883 3.247
0.000 0.000 0.000
0.556 2.151 3.810
-0.580 -0.628 2.986
3.378 0.895 4.071
2.826 -1.241 0.288

---

Entry 21:
TbErSb GGA-PBE optimized geometry; SG = No. 156; raw total energy = -4.860 eV per atom; crystal system = trigonal; M_tot = 0.0 μB per formula unit; ΔE_f (raw) = -421.1 meV per atom
1.0
3.993 0.000 0.000
0.000 5.036 0.000
0.000 -2.518 4.361
Sb Tb Er
1 1 1
Cartesian
1.188 0.000 2.907
2.458 2.518 1.454
0.347 0.000 0.000

---

Entry 22:
Tb5Er5Sb6 GGA-PBE optimized geometry; SG = No. 38; raw total energy = -5.326 eV per atom; crystal system = orthorhombic; M_tot = 0.0 μB per formula unit; ΔE_f (raw) = -907.4 meV per atom
1.0
-3.314 2.174 -4.881
4.789 -5.172 -5.556
-7.540 -3.147 3.717
Er Sb Tb
5 6 5
Cartesian
-5.678 -2.372 2.798
3.606 -3.898 -4.184
1.269 -4.861 -7.076
-3.734 -5.196 -3.830
-8.011 -3.336 -0.097
-1.688 -5.107 -1.129
-2.722 -2.134 -3.153
-1.486 -6.013 -5.719
-5.671 -5.148 1.556
-6.262 -5.229 -2.128
1.858 -6.385 -4.106
-1.810 -2.863 -6.121
-5.909 -2.189 -3.038
-4.252 -3.277 -0.598
-0.153 -3.950 -3.681
-0.675 -2.043 -0.452

---

Entry 23:
TbEr2Sb3 GGA-PBE optimized geometry; SG = No. 71; raw total energy = -5.465 eV per atom; crystal system = orthorhombic; M_tot = 0.0 μB per formula unit; ΔE_f (raw) = -1111.5 meV per atom
1.0
-0.183 -4.204 1.176
1.719 1.529 5.731
-7.057 2.082 -1.766
Sb Er Tb
3 2 1
Cartesian
-3.620 -1.061 -0.295
-0.731 -2.649 2.590
-4.789 2.057 2.551
0.096 -1.881 5.464
-5.617 1.289 -0.323
-2.760 -0.296 2.570